Entry from Alexandria: a relaxed CsMg14Co crystal (GGA-PBE).

Output
Mass density in g/cm³: 2.30
Electronic total energy in eV per cell: -26.62
Crystal system: orthorhombic
ΔH_f (0 K) in eV/atom: 0.229

POSCAR file:
```
CsMg14Co
1.0
2.0931 5.8973 1.6784
-5.8005 -2.1952 1.8740
4.4293 -4.1054 8.9008
Mg Co Cs
14 1 1
direct
0.6846 0.3154 0.7106 Mg
0.6830 0.8330 0.2471 Mg
0.6830 0.8330 0.7529 Mg
0.1670 0.3170 0.2471 Mg
0.6846 0.3154 0.2894 Mg
0.3425 0.6575 0.0000 Mg
0.2941 0.2029 0.5000 Mg
0.1670 0.3170 0.7529 Mg
0.1682 0.8318 0.7808 Mg
0.3464 0.1725 0.0000 Mg
0.7971 0.7059 0.5000 Mg
0.8275 0.6536 0.0000 Mg
0.8379 0.1621 0.0000 Mg
0.1682 0.8318 0.2192 Mg
0.8584 0.1416 0.5000 Co
0.2906 0.7094 0.5000 Cs
```